A geometry-optimized HfMgNb2Rh structure. Source: Alexandria via LeMat-Bulk, functional PBE. Values from VASP.

Space-group type = P4/mmm (123)
Magnetic moment = 0.006 μB per formula unit
Formation energy from the elements = 66.6 kJ per mole of atoms

Structure (Quantum ESPRESSO input):
```
&SYSTEM
  ibrav = 0, nat = 5, ntyp = 4
/
ATOMIC_SPECIES
Hf 178.49 Hf.upf
Mg 24.30 Mg.upf
Nb 92.91 Nb.upf
Rh 102.91 Rh.upf
ATOMIC_POSITIONS crystal
Hf 0.0000 0.0000 0.0000
Mg 0.5000 0.5000 0.0000
Nb 0.0000 0.5000 0.5000
Nb 0.5000 0.0000 0.5000
Rh 0.5000 0.5000 0.5000
CELL_PARAMETERS angstrom
4.8518 0.0000 0.0000
0.0000 4.8518 0.0000
0.0000 0.0000 4.7007
```

A geometry-optimized YHf2MgNb structure. Source: Alexandria via LeMat-Bulk, functional PBE. Values from VASP.

Space-group type = P4/mmm (123)
Magnetic moment = 0.521 μB per formula unit
Formation energy from the elements = 111.6 kJ per mole of atoms

Structure (Quantum ESPRESSO input):
```
&SYSTEM
  ibrav = 0, nat = 5, ntyp = 4
/
ATOMIC_SPECIES
Y 88.91 Y.upf
Hf 178.49 Hf.upf
Mg 24.30 Mg.upf
Nb 92.91 Nb.upf
ATOMIC_POSITIONS crystal
Y 0.0000 0.0000 0.0000
Hf 0.0000 0.5000 0.5000
Hf 0.5000 0.0000 0.5000
Mg 0.5000 0.5000 0.5000
Nb 0.5000 0.5000 0.0000
CELL_PARAMETERS angstrom
5.0869 0.0000 0.0000
0.0000 5.0869 0.0000
0.0000 0.0000 4.9706
```

A geometry-optimized NdHfMg4 structure. Source: Alexandria via LeMat-Bulk, functional PBE. Values from VASP.

Space-group type = F-43m (216)
Magnetic moment = 1.743 μB per formula unit
Formation energy from the elements = 10.9 kJ per mole of atoms

Structure (Quantum ESPRESSO input):
```
&SYSTEM
  ibrav = 0, nat = 6, ntyp = 3
/
ATOMIC_SPECIES
Nd 144.24 Nd.upf
Hf 178.49 Hf.upf
Mg 24.30 Mg.upf
ATOMIC_POSITIONS crystal
Nd 0.0000 0.0000 0.0000
Hf 0.7500 0.7500 0.7500
Mg 0.3759 0.3759 0.3759
Mg 0.3759 0.3759 0.8723
Mg 0.3759 0.8723 0.3759
Mg 0.8723 0.3759 0.3759
CELL_PARAMETERS angstrom
0.0000 4.1819 4.1819
4.1819 0.0000 4.1819
4.1819 4.1819 0.0000
```

- What is the magnetic moment in the first record?
  0.006 μB per formula unit